First-principles (PBE with a Hubbard U) data for a relaxed structure of SrFeO3, as listed in the Alexandria database.

Energy   -5.9277 eV per atom
Space-group type   No. 38
Size of the total moment   0.800 μB per atom

Structure (extended XYZ):
```
5
Lattice="-0.466 0.448 -3.206 4.149 4.698 0.054 1.653 -5.950 -1.072" Properties=species:S:1:pos:R:3 pbc="T T T"
O 1.479 -0.678 -1.978
Sr 1.643 -4.774 -2.574
O 2.236 -3.462 -0.809
O 3.620 -1.140 -2.353
Fe 2.651 -1.690 -0.621
```